# 1
The following is a DFT calculation (PBE) of a relaxed ZrNi2Pt crystal.

a = 4.3479 Å, b = 4.3479 Å, c = 4.3479 Å
α = 60.00°, β = 60.00°, γ = 60.00°
Atoms (fractional coordinates):
Ni 0.2500 0.2500 0.2500
Ni 0.7500 0.7500 0.7500
Zr 0.0000 0.0000 0.0000
Pt 0.5000 0.5000 0.5000

SG: Fm-3m (225)
Volume (Å³/atom): 14.530
Energy of formation (eV/f.u.): -2.12


# 2
The following is a DFT calculation (PBE) of a relaxed ZrNiPt2 crystal.

a = 3.8831 Å, b = 3.8831 Å, c = 9.5098 Å
α = 78.22°, β = 78.22°, γ = 90.00°
Atoms (fractional coordinates):
Ni 0.5000 0.5000 0.0000
Ni 0.2500 0.7500 0.5000
Zr 0.0000 0.0000 0.0000
Zr 0.7500 0.2500 0.5000
Pt 0.6045 0.1250 0.2500
Pt 0.1455 0.6250 0.2500
Pt 0.3750 0.3955 0.7500
Pt 0.8750 0.8545 0.7500

SG: I-42d (122)
Volume (Å³/atom): 17.161
Energy of formation (eV/f.u.): -1.56


# 3
The following is a DFT calculation (PBE) of a relaxed ZrNiPt2 crystal.

a = 9.1920 Å, b = 9.1920 Å, c = 9.1920 Å
α = 17.92°, β = 17.92°, γ = 17.92°
Atoms (fractional coordinates):
Ni 0.7487 0.7487 0.7487
Pt 0.0050 0.0050 0.0050
Pt 0.2498 0.2498 0.2498
Zr 0.4965 0.4965 0.4965

SG: R3m (160)
Volume (Å³/atom): 16.049
Energy of formation (eV/f.u.): -0.63


# 4
The following is a DFT calculation (PBE) of a relaxed ZrNi5Pt6 crystal.

a = 3.9060 Å, b = 7.5017 Å, c = 6.1482 Å
α = 90.00°, β = 71.48°, γ = 90.00°
Atoms (fractional coordinates):
Ni 0.6614 0.5000 0.6771
Ni 0.3280 0.0000 0.3440
Ni 0.0000 0.5000 0.0000
Ni 0.6720 0.0000 0.6560
Ni 0.3386 0.5000 0.3229
Pt 0.8306 0.7417 0.3389
Pt 0.8306 0.2583 0.3389
Pt 0.5000 0.2588 0.0000
Pt 0.5000 0.7412 0.0000
Pt 0.1694 0.7417 0.6611
Pt 0.1694 0.2583 0.6611
Zr 0.0000 0.0000 0.0000

SG: Cmmm (65)
Volume (Å³/atom): 14.235
Energy of formation (eV/f.u.): -4.12


# 5
The following is a DFT calculation (PBE) of a relaxed ZrNiPt2 crystal.

a = 3.4177 Å, b = 3.4177 Å, c = 5.5518 Å
α = 90.00°, β = 90.00°, γ = 90.00°
Atoms (fractional coordinates):
Ni 0.5000 0.5000 0.7620
Pt 0.0000 0.0000 0.9782
Pt 0.5000 0.5000 0.2543
Zr 0.0000 0.0000 0.5055

SG: P4mm (99)
Volume (Å³/atom): 16.212
Energy of formation (eV/f.u.): -2.40


# 6
The following is a DFT calculation (PBE) of a relaxed Zr2Ni2Pt crystal.

a = 6.9500 Å, b = 6.9500 Å, c = 3.3440 Å
α = 90.00°, β = 90.00°, γ = 90.00°
Atoms (fractional coordinates):
Ni 0.3751 0.8751 0.0000
Ni 0.8751 0.6249 0.0000
Ni 0.6249 0.1249 0.0000
Ni 0.1249 0.3751 0.0000
Zr 0.1757 0.6757 0.5000
Zr 0.6757 0.8243 0.5000
Zr 0.8243 0.3243 0.5000
Zr 0.3243 0.1757 0.5000
Pt 0.0000 0.0000 0.0000
Pt 0.5000 0.5000 0.0000

SG: P4/mbm (127)
Volume (Å³/atom): 16.152
Energy of formation (eV/f.u.): -3.48


# 7
The following is a DFT calculation (PBE) of a relaxed ZrNiPt2 crystal.

a = 4.9138 Å, b = 4.9138 Å, c = 3.9515 Å
α = 66.29°, β = 66.29°, γ = 47.42°
Atoms (fractional coordinates):
Ni 0.7500 0.7500 0.7502
Zr 0.5001 0.5001 0.5000
Pt 0.0000 0.0000 0.0000
Pt 0.2500 0.2500 0.2500

SG: I-4m2 (119)
Volume (Å³/atom): 15.779
Energy of formation (eV/f.u.): -3.22


# 8
The following is a DFT calculation (PBE) of a relaxed ZrNiPt2 crystal.

a = 4.4960 Å, b = 4.4960 Å, c = 4.4960 Å
α = 60.00°, β = 60.00°, γ = 60.00°
Atoms (fractional coordinates):
Ni 0.5000 0.5000 0.5000
Pt 0.0000 0.0000 0.0000
Pt 0.2500 0.2500 0.2500
Zr 0.7500 0.7500 0.7500

SG: F-43m (216)
Volume (Å³/atom): 16.065
Energy of formation (eV/f.u.): -2.44


# 9
The following is a DFT calculation (PBE) of a relaxed ZrNiPt crystal.

a = 4.3935 Å, b = 4.3935 Å, c = 2.9329 Å
α = 90.00°, β = 90.00°, γ = 120.00°
Atoms (fractional coordinates):
Ni 0.0000 0.0000 0.1621
Pt 0.6667 0.3333 0.1703
Zr 0.3333 0.6667 0.6676

SG: P3m1 (156)
Volume (Å³/atom): 16.343
Energy of formation (eV/f.u.): -1.70


# 10
The following is a DFT calculation (PBE) of a relaxed ZrNiPt2 crystal.

a = 4.5081 Å, b = 4.5081 Å, c = 4.5081 Å
α = 60.00°, β = 60.00°, γ = 60.00°
Atoms (fractional coordinates):
Ni 0.0000 0.0000 0.0000
Zr 0.5000 0.5000 0.5000
Pt 0.2500 0.2500 0.2500
Pt 0.7500 0.7500 0.7500

SG: Fm-3m (225)
Volume (Å³/atom): 16.196
Energy of formation (eV/f.u.): -2.52


# 11
The following is a DFT calculation (PBE) of a relaxed Zr4NiPt crystal.

a = 6.3888 Å, b = 6.3876 Å, c = 6.4372 Å
α = 89.97°, β = 90.00°, γ = 90.00°
Atoms (fractional coordinates):
Zr 0.2500 0.7499 0.2415
Zr 0.2500 0.2499 0.2415
Zr 0.7500 0.7499 0.2416
Zr 0.2500 0.7501 0.7584
Zr 0.7500 0.2499 0.2416
Zr 0.2500 0.2501 0.7584
Zr 0.7500 0.7501 0.7585
Zr 0.7500 0.2501 0.7585
Ni 0.5000 0.5000 0.0000
Ni 0.0000 0.0000 0.0000
Pt 0.0000 0.5000 0.5000
Pt 0.5000 0.0000 0.5000

SG: P4/mmm (123)
Volume (Å³/atom): 21.892
Energy above the lowest structure with this stoichiometry (meV per atom): 288
Energy of formation (eV/f.u.): -1.57


# 12
The following is a DFT calculation (PBE) of a relaxed ZrNi3Pt4 crystal.

a = 4.7396 Å, b = 5.5695 Å, c = 8.8982 Å
α = 90.00°, β = 90.00°, γ = 90.00°
Atoms (fractional coordinates):
Ni 0.0000 0.0000 0.0000
Ni 0.0000 0.0000 0.5000
Ni 0.6693 0.0000 0.7500
Ni 0.3307 0.0000 0.2500
Ni 0.6270 0.5000 0.7500
Ni 0.3730 0.5000 0.2500
Pt 0.5000 0.7570 0.0000
Pt 0.5000 0.7570 0.5000
Pt 0.5000 0.2430 0.0000
Pt 0.5000 0.2430 0.5000
Pt 0.1529 0.7631 0.7500
Pt 0.8471 0.7631 0.2500
Pt 0.8471 0.2369 0.2500
Pt 0.1529 0.2369 0.7500
Zr 0.0000 0.5000 0.0000
Zr 0.0000 0.5000 0.5000

SG: Pmma (51)
Volume (Å³/atom): 14.681
Energy of formation (eV/f.u.): -3.42


Among the records above, which one has the lowest volume? ZrNi5Pt6


Which value of energy of formation does entry 12 give? -3.42 eV/f.u.


What did the eleventh record say?
The following is a DFT calculation (PBE) of a relaxed Zr4NiPt crystal.

a = 6.3888 Å, b = 6.3876 Å, c = 6.4372 Å
α = 89.97°, β = 90.00°, γ = 90.00°
Atoms (fractional coordinates):
Zr 0.2500 0.7499 0.2415
Zr 0.2500 0.2499 0.2415
Zr 0.7500 0.7499 0.2416
Zr 0.2500 0.7501 0.7584
Zr 0.7500 0.2499 0.2416
Zr 0.2500 0.2501 0.7584
Zr 0.7500 0.7501 0.7585
Zr 0.7500 0.2501 0.7585
Ni 0.5000 0.5000 0.0000
Ni 0.0000 0.0000 0.0000
Pt 0.0000 0.5000 0.5000
Pt 0.5000 0.0000 0.5000

SG: P4/mmm (123)
Volume (Å³/atom): 21.892
Energy above the lowest structure with this stoichiometry (meV per atom): 288
Energy of formation (eV/f.u.): -1.57


Which value of energy of formation does entry 5 give? -2.40 eV/f.u.